# 1
A plane-wave DFT calculation with PBE-GGA was carried out for a relaxed Rb3Tl2Pb4 crystal.

a = 5.4298 Å, b = 7.5676 Å, c = 10.4251 Å
α = 69.08°, β = 74.81°, γ = 68.99°
Element x y z (fractional)
Pb 0.9202 0.5220 0.6553
Pb 0.0798 0.4780 0.3447
Pb 0.2964 0.3640 0.0413
Rb 0.3860 0.8624 0.3580
Rb 0.6140 0.1376 0.6420
Tl 0.7187 0.2897 0.2601
Tl 0.2813 0.7103 0.7399
Pb 0.7036 0.6360 0.9587
Rb 0.0000 0.0000 0.0000

Computed properties:
The formation energy comes out at -68 kJ/mol of formula units. The calculation puts the total energy at -23.17 eV per cell. For the total moment, the calculation gives 0.0 μB/f.u.


# 2
A plane-wave DFT calculation with PBE-GGA was carried out for a relaxed GaFe2Co crystal.

a = 3.7508 Å, b = 3.5769 Å, c = 3.5769 Å
α = 90.00°, β = 90.00°, γ = 90.00°
Element x y z (fractional)
Fe 0.0000 0.0000 0.5000
Ga 0.5000 0.0000 0.0000
Co 0.5000 0.5000 0.5000
Fe 0.0000 0.5000 0.0000

Computed properties:
The formation energy comes out at -48 kJ/mol of formula units. The calculation puts the total energy at -27.56 eV per cell. For the total moment, the calculation gives 6.0 μB/f.u.


Q: Which of these has the highest total moment?
A: GaFe2Co


Q: The highest total moment belongs to which entry?
A: GaFe2Co


Q: Look up the total moment of the first one.
A: 0.0 μB/f.u.